No. 1
Mg3VGa: optimized geometry, PBE.

## Properties
* DFT formation energy: 675 meV/atom
* size of the total moment: 0.84 μB/atom
* SG: Pm-3m, No. 221
* calculated density: 2.570 g/cm3

```
data_Mg3VGa
_space_group_name_H-M_alt 'P 1'
_space_group_IT_number 1
_space_group_name_Hall 'P 1'
_cell_length_a 5.001
_cell_length_b 5.001
_cell_length_c 5.001
_cell_angle_alpha 90.00
_cell_angle_beta 90.00
_cell_angle_gamma 90.00
loop_
_atom_site_label
_atom_site_type_symbol
_atom_site_fract_x
_atom_site_fract_y
_atom_site_fract_z
_atom_site_occupancy
Mg1 Mg 0.000 0.000 0.500 1
Mg2 Mg 0.000 0.500 0.000 1
Mg3 Mg 0.500 0.000 0.000 1
V1 V 0.500 0.500 0.500 1
Ga1 Ga 0.000 0.000 0.000 1
```

***

No. 2
MgVGa: optimized geometry, PBE.

## Properties
* DFT formation energy: 86 meV/atom
* size of the total moment: 0.00 μB/atom
* SG: I4mm, No. 107
* calculated density: 5.051 g/cm3

```
data_MgVGa
_space_group_name_H-M_alt 'P 1'
_space_group_IT_number 1
_space_group_name_Hall 'P 1'
_cell_length_a 6.435
_cell_length_b 6.435
_cell_length_c 6.435
_cell_angle_alpha 154.97
_cell_angle_beta 154.97
_cell_angle_gamma 35.70
loop_
_atom_site_label
_atom_site_type_symbol
_atom_site_fract_x
_atom_site_fract_y
_atom_site_fract_z
_atom_site_occupancy
Mg1 Mg 0.000 0.000 0.000 1
V1 V 0.326 0.326 0.000 1
Ga1 Ga 0.677 0.677 0.000 1
```

***

No. 3
Mg14VGa: optimized geometry, PBE.

## Properties
* DFT formation energy: 56 meV/atom
* size of the total moment: 0.24 μB/atom
* SG: P-6m2, No. 187
* calculated density: 2.207 g/cm3

```
data_Mg14VGa
_space_group_name_H-M_alt 'P 1'
_space_group_IT_number 1
_space_group_name_Hall 'P 1'
_cell_length_a 6.265
_cell_length_b 6.265
_cell_length_c 10.199
_cell_angle_alpha 90.00
_cell_angle_beta 90.00
_cell_angle_gamma 120.00
loop_
_atom_site_label
_atom_site_type_symbol
_atom_site_fract_x
_atom_site_fract_y
_atom_site_fract_z
_atom_site_occupancy
Mg1 Mg 0.000 0.000 0.248 1
Mg2 Mg 0.000 0.000 0.752 1
Mg3 Mg 0.008 0.504 0.247 1
Mg4 Mg 0.008 0.504 0.753 1
Mg5 Mg 0.332 0.166 0.500 1
Mg6 Mg 0.334 0.167 0.000 1
Mg7 Mg 0.496 0.504 0.247 1
Mg8 Mg 0.496 0.504 0.753 1
Mg9 Mg 0.496 0.992 0.247 1
Mg10 Mg 0.496 0.992 0.753 1
Mg11 Mg 0.833 0.167 0.000 1
Mg12 Mg 0.833 0.666 0.000 1
Mg13 Mg 0.834 0.166 0.500 1
Mg14 Mg 0.834 0.668 0.500 1
V1 V 0.333 0.667 0.000 1
Ga1 Ga 0.333 0.667 0.500 1
```

***

No. 4
MgVZnGa: optimized geometry, PBE.

## Properties
* DFT formation energy: 37 meV/atom
* size of the total moment: 0.58 μB/atom
* SG: F-43m, No. 216
* calculated density: 5.409 g/cm3

```
data_MgVZnGa
_space_group_name_H-M_alt 'P 1'
_space_group_IT_number 1
_space_group_name_Hall 'P 1'
_cell_length_a 4.504
_cell_length_b 4.504
_cell_length_c 4.504
_cell_angle_alpha 60.00
_cell_angle_beta 60.00
_cell_angle_gamma 60.00
loop_
_atom_site_label
_atom_site_type_symbol
_atom_site_fract_x
_atom_site_fract_y
_atom_site_fract_z
_atom_site_occupancy
Mg1 Mg 0.000 0.000 0.000 1
V1 V 0.500 0.500 0.500 1
Zn1 Zn 0.750 0.750 0.750 1
Ga1 Ga 0.250 0.250 0.250 1
```

***

No. 5
MgGaW2: optimized geometry, PBE.

## Properties
* DFT formation energy: 922 meV/atom
* size of the total moment: 0.00 μB/atom
* SG: I-42d, No. 122
* calculated density: 10.824 g/cm3

```
data_MgGaW2
_space_group_name_H-M_alt 'P 1'
_space_group_IT_number 1
_space_group_name_Hall 'P 1'
_cell_length_a 5.821
_cell_length_b 5.821
_cell_length_c 5.821
_cell_angle_alpha 101.72
_cell_angle_beta 101.72
_cell_angle_gamma 126.41
loop_
_atom_site_label
_atom_site_type_symbol
_atom_site_fract_x
_atom_site_fract_y
_atom_site_fract_z
_atom_site_occupancy
Mg1 Mg 0.000 0.000 0.000 1
Mg2 Mg 0.750 0.250 0.500 1
Ga1 Ga 0.250 0.750 0.500 1
Ga2 Ga 0.500 0.500 0.000 1
W1 W 0.155 0.625 0.030 1
W2 W 0.375 0.405 0.530 1
W3 W 0.595 0.125 0.970 1
W4 W 0.875 0.845 0.470 1
```

***

No. 6
MgGa3W: optimized geometry, PBE.

## Properties
* DFT formation energy: 474 meV/atom
* size of the total moment: 0.00 μB/atom
* SG: Pm-3m, No. 221
* calculated density: 5.819 g/cm3

```
data_MgGa3W
_space_group_name_H-M_alt 'P 1'
_space_group_IT_number 1
_space_group_name_Hall 'P 1'
_cell_length_a 4.920
_cell_length_b 4.920
_cell_length_c 4.920
_cell_angle_alpha 90.00
_cell_angle_beta 90.00
_cell_angle_gamma 90.00
loop_
_atom_site_label
_atom_site_type_symbol
_atom_site_fract_x
_atom_site_fract_y
_atom_site_fract_z
_atom_site_occupancy
Mg1 Mg 0.000 0.000 0.000 1
Ga1 Ga 0.000 0.500 0.500 1
Ga2 Ga 0.500 0.000 0.500 1
Ga3 Ga 0.500 0.500 0.000 1
W1 W 0.500 0.500 0.500 1
```